Computed, not measured: a geometry-optimized Zr3ZnC2 structure at the PBE level of DFT.

Properties
VASP energy = -8.19 eV per atom

a b c (Å): 3.342 3.342 19.757
angles (deg): 90.00 90.00 120.00
Element x y z (fractional)
C (0.667, 0.333, 0.572)
C (0.333, 0.667, 0.072)
C (0.667, 0.333, 0.928)
C (0.333, 0.667, 0.428)
Zr (0.333, 0.667, 0.868)
Zr (0.000, 0.000, 0.000)
Zr (0.667, 0.333, 0.132)
Zr (0.667, 0.333, 0.368)
Zr (0.000, 0.000, 0.500)
Zr (0.333, 0.667, 0.632)
Zn (0.000, 0.000, 0.750)
Zn (0.000, 0.000, 0.250)